A relaxed structure of LaY2Ho3Te6. Source: Alexandria, functional GGA-PBE.

Values from the calculation:
uncorrected energy: -66.3 eV per cell
E_form (uncorrected): -15.9 eV per formula unit
space group: C2/m

Cell lengths 9.814, 9.814, 8.829 Å; angles 103.18, 103.18, 25.69 degrees
Atoms (fractional coordinates):
La (0.000, 0.000, 0.000)
Y (0.335, 0.335, 0.669)
Y (0.665, 0.665, 0.331)
Ho (0.000, 0.000, 0.500)
Ho (0.338, 0.338, 0.168)
Ho (0.662, 0.662, 0.832)
Te (0.167, 0.167, 0.585)
Te (0.173, 0.173, 0.084)
Te (0.499, 0.499, 0.737)
Te (0.501, 0.501, 0.263)
Te (0.827, 0.827, 0.916)
Te (0.833, 0.833, 0.415)

A relaxed structure of ZnCdRh2N. Source: Alexandria, functional GGA-PBE.

Values from the calculation:
uncorrected energy: -19.9 eV per cell
E_form (uncorrected): 5.3 eV per formula unit
space group: P4/mmm

Cell lengths 4.835, 4.835, 3.541 Å; angles 90.00, 90.00, 90.00 degrees
Atoms (fractional coordinates):
Zn (0.000, 0.000, 0.000)
Cd (0.500, 0.500, 0.500)
Rh (0.000, 0.500, 0.000)
Rh (0.500, 0.000, 0.000)
N (0.000, 0.000, 0.500)

A relaxed structure of Tl2AgTe2. Source: Alexandria, functional GGA-PBE.

Values from the calculation:
energy above the most stable polymorph in this dataset: 1.648 eV/f.u.
uncorrected energy: -26.3 eV per cell
E_form (uncorrected): 0.7 eV per formula unit
space group: P4/mbm

Cell lengths 8.498, 8.498, 4.210 Å; angles 90.00, 90.00, 90.00 degrees
Atoms (fractional coordinates):
Tl (0.145, 0.355, 0.000)
Tl (0.355, 0.855, 0.000)
Tl (0.645, 0.145, 0.000)
Tl (0.855, 0.645, 0.000)
Ag (0.000, 0.000, 0.000)
Ag (0.500, 0.500, 0.000)
Te (0.162, 0.662, 0.500)
Te (0.338, 0.162, 0.500)
Te (0.662, 0.838, 0.500)
Te (0.838, 0.338, 0.500)

A relaxed structure of LaTePdAu2. Source: Alexandria, functional GGA-PBE.

Values from the calculation:
uncorrected energy: -20.3 eV per cell
E_form (uncorrected): -0.5 eV per formula unit
space group: P4/mmm

Cell lengths 5.310, 5.310, 4.920 Å; angles 90.00, 90.00, 90.00 degrees
Atoms (fractional coordinates):
La (0.000, 0.000, 0.000)
Te (0.500, 0.500, 0.500)
Pd (0.500, 0.500, 0.000)
Au (0.000, 0.500, 0.500)
Au (0.500, 0.000, 0.500)

A relaxed structure of Sm5ReN8. Source: Alexandria, functional GGA-PBE.

Values from the calculation:
uncorrected energy: -111.7 eV per cell
E_form (uncorrected): -9.1 eV per formula unit
space group: I-4

Cell lengths 6.202, 6.202, 6.202 Å; angles 109.02, 109.02, 110.39 degrees
Atoms (fractional coordinates):
Sm (0.000, 0.000, 0.000)
Sm (0.244, 0.125, 0.622)
Sm (0.378, 0.756, 0.881)
Sm (0.503, 0.622, 0.378)
Sm (0.875, 0.497, 0.119)
Re (0.750, 0.250, 0.500)
N (0.079, 0.356, 0.406)
N (0.088, 0.362, 0.863)
N (0.327, 0.921, 0.277)
N (0.499, 0.225, 0.137)
N (0.638, 0.501, 0.726)
N (0.644, 0.049, 0.723)
N (0.775, 0.912, 0.274)
N (0.951, 0.673, 0.594)

A relaxed structure of NpUH4. Source: Alexandria, functional GGA-PBE.

Values from the calculation:
uncorrected energy: -38.5 eV per cell
space group: C2/m

Cell lengths 3.669, 3.669, 6.416 Å; angles 106.98, 106.98, 59.94 degrees
Atoms (fractional coordinates):
Np (0.000, 0.000, 0.000)
U (0.500, 0.500, 0.500)
H (0.124, 0.124, 0.374)
H (0.376, 0.376, 0.127)
H (0.624, 0.624, 0.873)
H (0.876, 0.876, 0.626)

A relaxed structure of Sm8HRh3I4. Source: Alexandria, functional GGA-PBE.

Values from the calculation:
uncorrected energy: -82.5 eV per cell
space group: C2/m

Cell lengths 8.170, 8.170, 9.317 Å; angles 115.96, 115.96, 60.09 degrees
Atoms (fractional coordinates):
Sm (0.226, 0.226, 0.682)
Sm (0.227, 0.729, 0.684)
Sm (0.271, 0.271, 0.314)
Sm (0.271, 0.773, 0.316)
Sm (0.729, 0.227, 0.684)
Sm (0.729, 0.729, 0.686)
Sm (0.773, 0.271, 0.316)
Sm (0.774, 0.774, 0.318)
H (0.000, 0.000, 0.500)
Rh (0.000, 0.500, 0.500)
Rh (0.500, 0.000, 0.500)
Rh (0.500, 0.500, 0.500)
I (0.000, 0.000, 0.000)
I (0.000, 0.500, 0.000)
I (0.500, 0.000, 0.000)
I (0.500, 0.500, 0.000)

A relaxed structure of Zn2NiPb. Source: Alexandria, functional GGA-PBE.

Values from the calculation:
uncorrected energy: -10.9 eV per cell
space group: F-43m
ΔH_f (0 K): 283 meV/atom

Cell lengths 4.639, 4.639, 4.639 Å; angles 60.00, 60.00, 60.00 degrees
Atoms (fractional coordinates):
Zn (0.000, 0.000, 0.000)
Zn (0.250, 0.250, 0.250)
Ni (0.500, 0.500, 0.500)
Pb (0.750, 0.750, 0.750)

Magnetization values, unit μB per formula unit, following the record order: 0.00, 1.08, 0.00, 0.00, 0.02, 6.57, 0.00, 0.00.